Density functional theory data (PBE) for a geometry-optimized TaZnAg2 structure.

Values from the calculation:
space-group type = No. 216
M_tot = 0.01 μB/cell
total DFT energy (no corrections) = -17.33 eV per cell
formation energy from the elements = 0.358 eV/atom

abc: 4.565 4.565 4.565
angles: 60.00 60.00 60.00
Positions (direct):
Ta  0.000  0.000  0.000
Zn  0.250  0.250  0.250
Ag  0.500  0.500  0.500
Ag  0.750  0.750  0.750